DFT (PBE-GGA) results for a relaxed structure of Pm2Tm3Mg2.

Cell lengths 3.4955, 3.4674, 17.2268 Å; angles 90.00, 95.82, 90.00 degrees
Last column: nearest neighbours and their distance in Å.
Sites, in units of the cell vectors:
1 Pm 0.2955 0.5000 0.5911  4 Mg 3.40, 6 Pm 3.47-3.58
2 Pm 0.7045 0.5000 0.4089  4 Mg 3.40, 6 Pm 3.47-3.58
3 Tm 0.4294 0.5000 0.8588  4 Mg 3.33, 8 Tm 3.45-3.50
4 Tm 0.5706 0.5000 0.1412  4 Mg 3.33, 8 Tm 3.45-3.50
5 Tm 0.0000 0.0000 0.0000  12 Tm 3.45-3.50
6 Mg 0.1359 0.0000 0.2719  4 Tm 3.33, 4 Pm 3.40, 4 Mg 3.47-3.50
7 Mg 0.8641 0.0000 0.7281  4 Tm 3.33, 4 Pm 3.40, 4 Mg 3.47-3.50

## Properties
density of states at the Fermi level = 8.571 states/eV/cell
total moment = 0.000 μB/atom
crystal system = orthorhombic
DFT formation energy = 0.25 eV/f.u.
VASP energy = -3.6940 eV/atom